# 1
Computed, not measured: a relaxed PaH5Os crystal at the PBE-GGA level of DFT.

Unit cell a=4.3878 b=4.3878 c=4.3878 alpha=124.21 beta=118.63 gamma=87.63
Closest atoms and distances in Å follow each position.
Element x y z (fractional)
Pa 0.0000 0.0000 0.0000  6 H 2.24-2.41
H 0.0343 0.3221 0.7122  1 Os 1.71, 1 H 1.90
H 0.3901 0.6779 0.7122  1 Os 1.71, 1 H 1.90
H 0.5000 0.0000 0.5000  2 Os 2.05, 2 Pa 2.24, 4 H 2.25
H 0.6099 0.3221 0.2878  1 Os 1.71, 1 H 1.90
H 0.9657 0.6779 0.2878  1 Os 1.71, 1 H 1.90
Os 0.5000 0.5000 0.0000  4 H 1.71

- space group = Immm
- uncorrected energy (eV per atom) = -5.611

=====

# 2
Computed, not measured: a relaxed PaH2Os crystal at the PBE-GGA level of DFT.

Unit cell a=5.9352 b=5.9352 c=5.9352 alpha=30.45 beta=30.45 gamma=30.45
Closest atoms and distances in Å follow each position.
Element x y z (fractional)
Pa 0.0000 0.0000 0.0000  6 H 2.15
H 0.4023 0.4023 0.4023  1 Os 1.66
H 0.5977 0.5977 0.5977  1 Os 1.66
Os 0.5000 0.5000 0.5000  2 H 1.66

- space group = R-3m
- uncorrected energy (eV per atom) = -6.634

=====

# 3
Computed, not measured: a relaxed PaHOs crystal at the PBE-GGA level of DFT.

Unit cell a=4.4504 b=4.4504 c=4.4504 alpha=129.31 beta=129.31 gamma=74.51
Closest atoms and distances in Å follow each position.
Element x y z (fractional)
Pa 0.0000 0.0000 0.0000  1 H 2.18
H 0.6928 0.6928 0.0000  1 Os 1.64
Os 0.4609 0.4609 0.0000  1 H 1.64

- space group = I4mm
- uncorrected energy (eV per atom) = -8.065

=====

# 4
Computed, not measured: a relaxed PaSiHOs crystal at the PBE-GGA level of DFT.

Unit cell a=4.1232 b=4.1232 c=6.8584 alpha=90.00 beta=90.00 gamma=90.00
Closest atoms and distances in Å follow each position.
Element x y z (fractional)
Pa 0.2500 0.2500 0.1742  4 H 2.38
Pa 0.7500 0.7500 0.8258  4 H 2.38
Si 0.2500 0.2500 0.6946  4 Os 2.46
Si 0.7500 0.7500 0.3054  4 Os 2.46
H 0.2500 0.7500 0.0000  4 Pa 2.38
H 0.7500 0.2500 0.0000  4 Pa 2.38
Os 0.2500 0.7500 0.5000  4 Si 2.46
Os 0.7500 0.2500 0.5000  4 Si 2.46

- space group = P4/nmm
- uncorrected energy (eV per atom) = -8.005

=====

# 5
Computed, not measured: a relaxed PaSnH8Os2 crystal at the PBE-GGA level of DFT.

Unit cell a=4.7796 b=4.7796 c=6.1242 alpha=107.63 beta=107.63 gamma=54.24
Closest atoms and distances in Å follow each position.
Element x y z (fractional)
Pa 0.0000 0.0000 0.0000  10 H 2.21-2.44
Sn 0.5000 0.5000 0.5000  8 H 2.43-2.54
H 0.0637 0.5478 0.1555  1 Os 1.68, 1 H 1.82
H 0.1822 0.1822 0.3580  1 Os 1.70
H 0.4118 0.4118 0.8386  1 Os 1.76
H 0.4522 0.9363 0.8445  1 Os 1.68, 1 H 1.82
H 0.5478 0.0637 0.1555  1 Os 1.68, 1 H 1.82
H 0.5882 0.5882 0.1614  1 Os 1.76
H 0.8178 0.8178 0.6420  1 Os 1.70
H 0.9363 0.4522 0.8445  1 Os 1.68, 1 H 1.82
Os 0.2040 0.2040 0.6450  4 H 1.68-1.76
Os 0.7960 0.7960 0.3550  4 H 1.68-1.76

- space group = C2/m
- uncorrected energy (eV per atom) = -5.177

=====

# 6
Computed, not measured: a relaxed PaZnH8Os2 crystal at the PBE-GGA level of DFT.

Unit cell a=4.5558 b=4.5558 c=6.1609 alpha=110.62 beta=110.62 gamma=57.17
Closest atoms and distances in Å follow each position.
Element x y z (fractional)
Pa 0.0000 0.0000 0.0000  10 H 2.28-2.39
Zn 0.5000 0.5000 0.5000  8 H 2.10-2.29
H 0.0800 0.5564 0.1690  1 Os 1.68
H 0.2147 0.2147 0.3790  1 Os 1.68
H 0.4397 0.4397 0.8327  1 Os 1.70, 1 H 1.89
H 0.4436 0.9200 0.8310  1 Os 1.68
H 0.5564 0.0800 0.1690  1 Os 1.68
H 0.5603 0.5603 0.1673  1 Os 1.70, 1 H 1.89
H 0.7853 0.7853 0.6210  1 Os 1.68
H 0.9200 0.4436 0.8310  1 Os 1.68
Os 0.2141 0.2141 0.6515  4 H 1.68-1.70
Os 0.7859 0.7859 0.3485  4 H 1.68-1.70

- space group = C2/m
- uncorrected energy (eV per atom) = -5.054

=====

# 7
Computed, not measured: a relaxed HOsPb3 crystal at the PBE-GGA level of DFT.

Unit cell a=5.2713 b=5.2713 c=5.2713 alpha=90.00 beta=90.00 gamma=90.00
Closest atoms and distances in Å follow each position.
Element x y z (fractional)
H 0.0000 0.0000 0.0000  12 Pb 3.73
Os 0.5000 0.5000 0.5000  6 Pb 2.64
Pb 0.0000 0.5000 0.5000  2 Os 2.64
Pb 0.5000 0.0000 0.5000  2 Os 2.64
Pb 0.5000 0.5000 0.0000  2 Os 2.64

- space group = Pm-3m
- offset from the most stable computed form (eV/atom) = 0.000

=====

# 8
Computed, not measured: a relaxed HOsPb3 crystal at the PBE-GGA level of DFT.

Unit cell a=4.6925 b=4.6925 c=4.6925 alpha=90.00 beta=90.00 gamma=90.00
Closest atoms and distances in Å follow each position.
Element x y z (fractional)
H 0.0000 0.0000 0.0000  6 Pb 2.35
Os 0.5000 0.5000 0.5000  12 Pb 3.32
Pb 0.0000 0.0000 0.5000  2 H 2.35
Pb 0.0000 0.5000 0.0000  2 H 2.35
Pb 0.5000 0.0000 0.0000  2 H 2.35

- space group = Pm-3m
- offset from the most stable computed form (eV/atom) = 0.157